Compound: CaDyRuAu
Source: Alexandria
Functional: PBE
Structure: optimized geometry

Unit cell a=4.946 b=4.946 c=4.946 alpha=60.00 beta=60.00 gamma=60.00
Atoms (fractional coordinates):
Ca  0.000  0.000  0.000
Dy  0.500  0.500  0.500
Ru  0.250  0.250  0.250
Au  0.750  0.750  0.750

Summary:
Formation enthalpy at 0 K in eV/atom: -0.37
Symmetry: F-43m, No. 216